Entry 1:
! Ho6InTe3As2 | the Alexandria database | GGA-PBE | optimized geometry; values from VASP
! Symmetry: No. 12
! Calculated density in g cm⁻³: 8.2
! Spin magnetization in μB/cell: 0.000
! Uncorrected energy in eV/atom: -5.315
&SYSTEM
  ibrav = 0, nat = 12, ntyp = 4
/
ATOMIC_SPECIES
As 74.92 As.upf
Ho 164.93 Ho.upf
Te 127.60 Te.upf
In 114.82 In.upf
CELL_PARAMETERS angstrom
4.1940 0.0000 0.0000
0.0000 8.6951 0.2716
-2.0970 -2.5451 9.0002
ATOMIC_POSITIONS crystal
As 0.1682 0.3373 0.3364
As 0.8318 0.6627 0.6636
Ho 0.3255 0.4331 0.6510
Ho 0.3346 0.8944 0.6692
Ho 0.0078 0.2498 0.0156
Ho 0.9922 0.7502 0.9844
Ho 0.6654 0.1056 0.3308
Ho 0.6745 0.5669 0.3490
Te 0.8339 0.1685 0.6678
Te 0.5000 0.5000 0.0000
Te 0.1661 0.8315 0.3322
In 0.5000 0.0000 0.0000

Entry 2:
! YWN3 | the Alexandria database | GGA-PBE | optimized geometry; values from VASP
! Symmetry: No. 11
! Calculated density in g cm⁻³: 6.5
! Spin magnetization in μB/cell: 0.000
! Uncorrected energy in eV/atom: -9.863
&SYSTEM
  ibrav = 0, nat = 10, ntyp = 3
/
ATOMIC_SPECIES
Y 88.91 Y.upf
W 183.84 W.upf
N 14.01 N.upf
CELL_PARAMETERS angstrom
8.0111 -0.0001 -0.0073
0.0000 3.6510 0.0000
1.7899 0.0000 5.4819
ATOMIC_POSITIONS crystal
Y 0.6078 0.3930 0.4614
Y 0.4140 0.8930 0.0529
W 0.8303 0.8930 0.8716
W 0.1915 0.3930 0.6427
N 0.9213 0.3930 0.8864
N 0.3486 0.3930 0.8190
N 0.6732 0.8930 0.6953
N 0.1005 0.8930 0.6279
N 0.6657 0.8930 0.1840
N 0.3561 0.3930 0.3302

Entry 3:
! Ce2MgB2Ir5 | the Alexandria database | GGA-PBE | optimized geometry; values from VASP
! Symmetry: No. 127
! Energy of formation from the pure elements in meV per atom: -617
! Calculated density in g cm⁻³: 13.8
! Spin magnetization in μB/cell: 0.401
&SYSTEM
  ibrav = 0, nat = 20, ntyp = 4
/
ATOMIC_SPECIES
B 10.81 B.upf
Ir 192.22 Ir.upf
Ce 140.12 Ce.upf
Mg 24.30 Mg.upf
CELL_PARAMETERS angstrom
3.2886 0.0000 0.0000
0.0000 9.6959 0.0000
0.0000 0.0000 9.6959
ATOMIC_POSITIONS crystal
B 0.0000 0.1206 0.6206
B 0.0000 0.3794 0.1206
B 0.0000 0.8794 0.3794
B 0.0000 0.6206 0.8794
Ir 0.5000 0.5000 0.0000
Ir 0.5000 0.9303 0.2258
Ir 0.5000 0.0697 0.7742
Ir 0.5000 0.5697 0.7258
Ir 0.5000 0.7258 0.4303
Ir 0.5000 0.4303 0.2742
Ir 0.5000 0.2258 0.0697
Ir 0.5000 0.7742 0.9303
Ir 0.5000 0.0000 0.5000
Ir 0.5000 0.2742 0.5697
Ce 0.0000 0.3219 0.8219
Ce 0.0000 0.6781 0.1781
Ce 0.0000 0.8219 0.6781
Ce 0.0000 0.1781 0.3219
Mg 0.0000 0.0000 0.0000
Mg 0.0000 0.5000 0.5000

Entry 4:
! NbSb3Se | the Alexandria database | GGA-PBE | optimized geometry; values from VASP
! Symmetry: No. 221
! ΔE to the lowest computed polymorph in meV per atom: 664
! Calculated density in g cm⁻³: 6.0
! Spin magnetization in μB/cell: 2.501
&SYSTEM
  ibrav = 0, nat = 5, ntyp = 3
/
ATOMIC_SPECIES
Se 78.96 Se.upf
Sb 121.76 Sb.upf
Nb 92.91 Nb.upf
CELL_PARAMETERS angstrom
5.2832 0.0000 0.0000
0.0000 5.2832 0.0000
0.0000 0.0000 5.2832
ATOMIC_POSITIONS crystal
Se 0.0000 0.0000 0.0000
Sb 0.0000 0.5000 0.0000
Sb 0.0000 0.0000 0.5000
Sb 0.5000 0.0000 0.0000
Nb 0.5000 0.5000 0.5000

Entry 5:
! NaScO3 | the Alexandria database | GGA-PBE | optimized geometry; values from VASP
! Symmetry: No. 221
! Calculated density in g cm⁻³: 2.8
! Spin magnetization in μB/cell: 2.000
! Uncorrected energy in eV/atom: -6.337
&SYSTEM
  ibrav = 0, nat = 5, ntyp = 3
/
ATOMIC_SPECIES
Sc 44.96 Sc.upf
O 16.00 O.upf
Na 22.99 Na.upf
CELL_PARAMETERS angstrom
-3.8826 -1.2031 -0.3820
0.6306 -2.9190 2.7838
-1.0934 2.5884 2.9619
ATOMIC_POSITIONS crystal
Sc 0.0000 0.0000 0.0000
O 0.0000 0.0000 0.5000
O 0.0000 0.5000 0.0000
O 0.5000 0.0000 0.0000
Na 0.5000 0.5000 0.5000

Entry 6:
! Tc | the Alexandria database | GGA-PBE | optimized geometry; values from VASP
! Symmetry: No. 141
! Energy of formation from the pure elements in meV per atom: 799
! ΔE to the lowest computed polymorph in meV per atom: 799
! Calculated density in g cm⁻³: 10.3
! Spin magnetization in μB/cell: 0.000
&SYSTEM
  ibrav = 0, nat = 2, ntyp = 1
/
ATOMIC_SPECIES
Tc 98.00 Tc.upf
CELL_PARAMETERS angstrom
3.7330 0.0105 0.0000
-2.8434 2.4188 0.0000
-0.4448 -1.2147 3.5017
ATOMIC_POSITIONS crystal
Tc 0.1250 0.8750 0.7500
Tc 0.8750 0.1250 0.2500

- Look up the spin magnetization of the second one.
  0.000 μB/cell

- Which value of calculated density does entry 2 give?
  6.5 g cm⁻³